(1)
# HfTaFe (GGA-PBE, relaxed)
# Magnetic moment, μB per cell: 0.00
# Calculated total energy, eV per cell: -122.740
# Density of states at the Fermi level, states/eV per cell: 11.1
# Polymorph energy (0 for the lowest one), meV per atom: 0
# Volume, Å³ per cell: 202.0
# Calculated formation energy, eV/f.u.: -0.4
data_HfTaFe
_symmetry_space_group_name_H-M 'P 1'
_symmetry_Int_Tables_number 1
_symmetry_space_group_name_Hall 'P 1'
_cell_length_a 5.1347
_cell_length_b 5.3037
_cell_length_c 8.8581
_cell_angle_alpha 81.94
_cell_angle_beta 73.15
_cell_angle_gamma 61.05
loop_
_atom_site_label
_atom_site_type_symbol
_atom_site_fract_x
_atom_site_fract_y
_atom_site_fract_z
Hf1 Hf 0.1625 0.5000 0.6750
Hf2 Hf 0.3375 0.5000 0.3250
Hf3 Hf 0.5875 0.0000 0.8250
Hf4 Hf 0.4125 0.0000 0.1750
Ta1 Ta 0.5851 0.8297 0.5000
Ta2 Ta 0.9149 0.1703 0.5000
Ta3 Ta 0.1649 0.6703 0.0000
Ta4 Ta 0.8351 0.3297 0.0000
Fe1 Fe 0.6271 0.5000 0.7459
Fe2 Fe 0.8729 0.5000 0.2541
Fe3 Fe 0.1229 0.0000 0.7541
Fe4 Fe 0.8771 0.0000 0.2459

(2)
# HfTa2Fe2 (GGA-PBE, relaxed)
# Magnetic moment, μB per cell: 0.00
# Calculated total energy, eV per cell: -101.409
# Density of states at the Fermi level, states/eV per cell: 12.6
# Polymorph energy (0 for the lowest one), meV per atom: 5
# Volume, Å³ per cell: 158.1
# Calculated formation energy, eV/f.u.: -0.1
data_HfTa2Fe2
_symmetry_space_group_name_H-M 'P 1'
_symmetry_Int_Tables_number 1
_symmetry_space_group_name_Hall 'P 1'
_cell_length_a 7.1775
_cell_length_b 7.1775
_cell_length_c 3.0681
_cell_angle_alpha 90.00
_cell_angle_beta 90.00
_cell_angle_gamma 90.00
loop_
_atom_site_label
_atom_site_type_symbol
_atom_site_fract_x
_atom_site_fract_y
_atom_site_fract_z
Hf1 Hf 0.0000 0.0000 0.0000
Hf2 Hf 0.5000 0.5000 0.0000
Fe1 Fe 0.3681 0.8681 0.0000
Fe2 Fe 0.8681 0.6319 0.0000
Fe3 Fe 0.6319 0.1319 0.0000
Fe4 Fe 0.1319 0.3681 0.0000
Ta1 Ta 0.1603 0.6603 0.5000
Ta2 Ta 0.6603 0.8397 0.5000
Ta3 Ta 0.8397 0.3397 0.5000
Ta4 Ta 0.3397 0.1603 0.5000

(3)
# HfTa4Fe5 (GGA-PBE, relaxed)
# Magnetic moment, μB per cell: 3.69
# Calculated total energy, eV per cell: -101.540
# Density of states at the Fermi level, states/eV per cell: 8.4
# Volume, Å³ per cell: 146.0
# Calculated formation energy, eV/f.u.: -1.9
data_HfTa4Fe5
_symmetry_space_group_name_H-M 'P 1'
_symmetry_Int_Tables_number 1
_symmetry_space_group_name_Hall 'P 1'
_cell_length_a 3.0744
_cell_length_b 3.0744
_cell_length_c 15.4440
_cell_angle_alpha 90.00
_cell_angle_beta 90.00
_cell_angle_gamma 90.00
loop_
_atom_site_label
_atom_site_type_symbol
_atom_site_fract_x
_atom_site_fract_y
_atom_site_fract_z
Hf1 Hf 0.0000 0.0000 0.0000
Ta1 Ta 0.0000 0.0000 0.2026
Ta2 Ta 0.0000 0.0000 0.4011
Ta3 Ta 0.0000 0.0000 0.5989
Ta4 Ta 0.0000 0.0000 0.7974
Fe1 Fe 0.5000 0.5000 0.1073
Fe2 Fe 0.5000 0.5000 0.3024
Fe3 Fe 0.5000 0.5000 0.5000
Fe4 Fe 0.5000 0.5000 0.6976
Fe5 Fe 0.5000 0.5000 0.8927

(4)
# HfTa3Fe (GGA-PBE, relaxed)
# Magnetic moment, μB per cell: 0.00
# Calculated total energy, eV per cell: -41.775
# Density of states at the Fermi level, states/eV per cell: 14.1
# Polymorph energy (0 for the lowest one), meV per atom: 1859
# Volume, Å³ per cell: 113.3
# Calculated formation energy, eV/f.u.: 12.2
data_HfTa3Fe
_symmetry_space_group_name_H-M 'P 1'
_symmetry_Int_Tables_number 1
_symmetry_space_group_name_Hall 'P 1'
_cell_length_a 4.8385
_cell_length_b 4.8385
_cell_length_c 4.8385
_cell_angle_alpha 90.00
_cell_angle_beta 90.00
_cell_angle_gamma 90.00
loop_
_atom_site_label
_atom_site_type_symbol
_atom_site_fract_x
_atom_site_fract_y
_atom_site_fract_z
Hf1 Hf 0.0000 0.0000 0.0000
Fe1 Fe 0.5000 0.5000 0.5000
Ta1 Ta 0.0000 0.5000 0.0000
Ta2 Ta 0.0000 0.0000 0.5000
Ta3 Ta 0.5000 0.0000 0.0000

(5)
# HfTa2Fe2 (GGA-PBE, relaxed)
# Magnetic moment, μB per cell: 0.00
# Calculated total energy, eV per cell: -48.691
# Density of states at the Fermi level, states/eV per cell: 7.1
# Polymorph energy (0 for the lowest one), meV per atom: 408
# Volume, Å³ per cell: 86.3
# Calculated formation energy, eV/f.u.: 1.9
data_HfTa2Fe2
_symmetry_space_group_name_H-M 'P 1'
_symmetry_Int_Tables_number 1
_symmetry_space_group_name_Hall 'P 1'
_cell_length_a 3.8970
_cell_length_b 3.8970
_cell_length_c 6.3163
_cell_angle_alpha 72.03
_cell_angle_beta 72.03
_cell_angle_gamma 90.00
loop_
_atom_site_label
_atom_site_type_symbol
_atom_site_fract_x
_atom_site_fract_y
_atom_site_fract_z
Hf1 Hf 0.0000 0.0000 0.0000
Fe1 Fe 0.7500 0.2500 0.5000
Fe2 Fe 0.2500 0.7500 0.5000
Ta1 Ta 0.3765 0.3765 0.2470
Ta2 Ta 0.6235 0.6235 0.7530

(6)
# Hf2TaFe (GGA-PBE, relaxed)
# Magnetic moment, μB per cell: 0.00
# Calculated total energy, eV per cell: -77.194
# Density of states at the Fermi level, states/eV per cell: 7.9
# Polymorph energy (0 for the lowest one), meV per atom: 482
# Volume, Å³ per cell: 151.1
# Calculated formation energy, eV/f.u.: 1.6
data_Hf2TaFe
_symmetry_space_group_name_H-M 'P 1'
_symmetry_Int_Tables_number 1
_symmetry_space_group_name_Hall 'P 1'
_cell_length_a 7.3705
_cell_length_b 7.3705
_cell_length_c 5.9076
_cell_angle_alpha 51.40
_cell_angle_beta 51.40
_cell_angle_gamma 90.00
loop_
_atom_site_label
_atom_site_type_symbol
_atom_site_fract_x
_atom_site_fract_y
_atom_site_fract_z
Hf1 Hf 0.5743 0.1250 0.2500
Hf2 Hf 0.1757 0.6250 0.2500
Hf3 Hf 0.3750 0.4257 0.7500
Hf4 Hf 0.8750 0.8243 0.7500
Fe1 Fe 0.5000 0.5000 0.0000
Fe2 Fe 0.2500 0.7500 0.5000
Ta1 Ta 0.0000 0.0000 0.0000
Ta2 Ta 0.7500 0.2500 0.5000

(7)
# HfTaFe (GGA-PBE, relaxed)
# Magnetic moment, μB per cell: 0.00
# Calculated total energy, eV per cell: -29.934
# Density of states at the Fermi level, states/eV per cell: 2.5
# Polymorph energy (0 for the lowest one), meV per atom: 250
# Volume, Å³ per cell: 55.3
# Calculated formation energy, eV/f.u.: 0.3
data_HfTaFe
_symmetry_space_group_name_H-M 'P 1'
_symmetry_Int_Tables_number 1
_symmetry_space_group_name_Hall 'P 1'
_cell_length_a 4.3004
_cell_length_b 4.3004
_cell_length_c 4.2548
_cell_angle_alpha 89.95
_cell_angle_beta 120.05
_cell_angle_gamma 120.35
loop_
_atom_site_label
_atom_site_type_symbol
_atom_site_fract_x
_atom_site_fract_y
_atom_site_fract_z
Hf1 Hf 0.9449 0.4723 0.4172
Ta1 Ta 0.9449 0.9722 0.9171
Fe1 Fe 0.4435 0.2222 0.6657

(8)
# Hf4Ta2Fe (GGA-PBE, relaxed)
# Magnetic moment, μB per cell: 0.00
# Calculated total energy, eV per cell: -66.710
# Density of states at the Fermi level, states/eV per cell: 10.5
# Volume, Å³ per cell: 151.8
# Calculated formation energy, eV/f.u.: 5.3
data_Hf4Ta2Fe
_symmetry_space_group_name_H-M 'P 1'
_symmetry_Int_Tables_number 1
_symmetry_space_group_name_Hall 'P 1'
_cell_length_a 4.5859
_cell_length_b 4.5859
_cell_length_c 7.9143
_cell_angle_alpha 73.16
_cell_angle_beta 73.16
_cell_angle_gamma 90.00
loop_
_atom_site_label
_atom_site_type_symbol
_atom_site_fract_x
_atom_site_fract_y
_atom_site_fract_z
Hf1 Hf 0.1773 0.1773 0.6455
Hf2 Hf 0.8227 0.8227 0.3545
Hf3 Hf 0.0000 0.5000 0.0000
Hf4 Hf 0.5000 0.0000 0.0000
Fe1 Fe 0.0000 0.0000 0.0000
Ta1 Ta 0.3705 0.3705 0.2590
Ta2 Ta 0.6295 0.6295 0.7410